(1)
The following is a PBEsol calculation of AlCd2Cl after structural relaxation, from Alexandria via LeMat-Bulk.

Cell and atoms, written as POSCAR:
```
AlCd2Cl
1.0
5.029 0.000 0.000
2.515 4.356 0.000
2.515 1.452 4.106
Cl Al Cd
1 1 2
Cartesian
5.029 2.904 2.053
0.000 0.000 0.000
2.515 1.452 1.027
7.544 4.356 3.080
```

Summary:
Fermi-level density of states: 0.232 states/eV per atom
volume: 22.488 A^3/atom


(2)
The following is a PBEsol calculation of AlCd2Cl after structural relaxation, from Alexandria via LeMat-Bulk.

Cell and atoms, written as POSCAR:
```
AlCd2Cl
1.0
-1.870 -2.287 0.334
2.815 -2.657 -2.427
2.566 0.775 6.428
Cl Al Cd
1 1 2
Cartesian
1.407 -1.328 -1.213
-0.935 -1.143 0.167
2.324 -3.506 2.233
1.187 -0.663 2.103
```

Summary:
Fermi-level density of states: 0.291 states/eV per atom
volume: 21.762 A^3/atom


What should be chosen as the least stable of them? Choose (1).


(1)
The following is a PBEsol calculation of AlCdCo2 after structural relaxation, from Alexandria via LeMat-Bulk.

Cell and atoms, written as POSCAR:
```
AlCdCo2
1.0
-2.729 0.100 -0.197
-1.527 -1.970 1.133
-1.765 3.666 7.302
Co Al Cd
2 1 1
Cartesian
-1.513 0.542 2.211
-4.508 1.255 6.028
-3.010 0.899 4.119
0.000 0.000 0.000
```

Summary:
Fermi-level density of states: 1.173 states/eV per atom
volume: 13.320 A^3/atom


(2)
The following is a PBEsol calculation of AlCdCo2 after structural relaxation, from Alexandria via LeMat-Bulk.

Cell and atoms, written as POSCAR:
```
AlCdCo2
1.0
2.804 0.000 0.000
0.000 4.347 -0.009
-1.402 -1.577 4.370
Co Al Cd
2 1 1
Cartesian
0.000 4.258 0.168
1.402 0.419 2.083
0.000 0.444 4.202
0.000 2.592 2.262
```

Summary:
Fermi-level density of states: 1.018 states/eV per atom
volume: 13.303 A^3/atom


(3)
The following is a PBEsol calculation of AlCdCo2 after structural relaxation, from Alexandria via LeMat-Bulk.

Cell and atoms, written as POSCAR:
```
AlCdCo2
1.0
4.219 0.000 0.000
2.109 3.653 0.000
2.109 1.218 3.444
Co Al Cd
2 1 1
Cartesian
0.000 0.000 0.000
6.328 3.653 2.583
4.219 2.436 1.722
2.109 1.218 0.861
```

Summary:
Fermi-level density of states: 1.330 states/eV per atom
volume: 13.271 A^3/atom


What should be chosen as the least stable of them? Choose (3).


(1)
The following is a PBEsol calculation of Mg2AlCd after structural relaxation, from Alexandria via LeMat-Bulk.

Cell and atoms, written as POSCAR:
```
Mg2AlCd
1.0
3.066 0.000 0.000
0.000 5.215 0.027
0.000 -1.952 5.069
Mg Al Cd
2 1 1
Cartesian
0.000 0.000 0.000
1.533 -0.976 2.534
1.533 2.608 0.013
0.000 1.632 2.548
```

Summary:
Fermi-level density of states: 0.375 states/eV per atom
volume: 20.301 A^3/atom


(2)
The following is a PBEsol calculation of Mg2AlCd after structural relaxation, from Alexandria via LeMat-Bulk.

Cell and atoms, written as POSCAR:
```
Mg2AlCd
1.0
3.122 0.000 0.000
1.561 2.704 0.000
1.561 0.901 9.602
Mg Al Cd
2 1 1
Cartesian
1.561 0.901 2.462
4.683 2.704 7.140
3.122 1.802 4.801
0.000 0.000 0.000
```

Summary:
Fermi-level density of states: 0.419 states/eV per atom
volume: 20.261 A^3/atom


(3)
The following is a PBEsol calculation of Mg2AlCd after structural relaxation, from Alexandria via LeMat-Bulk.

Cell and atoms, written as POSCAR:
```
Mg2AlCd
1.0
3.032 0.000 0.000
0.000 4.275 0.000
0.000 0.000 6.130
Mg Al Cd
2 1 1
Cartesian
0.000 0.000 4.625
0.000 0.000 1.505
1.516 2.138 0.000
1.516 2.138 3.065
```

Summary:
Fermi-level density of states: 0.349 states/eV per atom
volume: 19.864 A^3/atom


(4)
The following is a PBEsol calculation of Mg2AlCd after structural relaxation, from Alexandria via LeMat-Bulk.

Cell and atoms, written as POSCAR:
```
Mg2AlCd
1.0
3.071 0.055 0.000
-0.054 3.071 0.000
0.000 0.000 8.616
Mg Al Cd
2 1 1
Cartesian
0.000 0.000 0.067
1.508 1.563 6.351
0.000 0.000 4.279
1.508 1.563 2.228
```

Summary:
Fermi-level density of states: 0.385 states/eV per atom
volume: 20.321 A^3/atom


What should be chosen as the least stable of them? Choose (4).


(1)
The following is a PBEsol calculation of Mg2AlCd after structural relaxation, from Alexandria via LeMat-Bulk.

Cell and atoms, written as POSCAR:
```
Mg2AlCd
1.0
4.327 0.000 0.000
0.000 4.327 0.000
-2.164 -2.164 4.296
Mg Al Cd
2 1 1
Cartesian
0.000 0.000 0.000
2.164 0.000 2.148
2.164 2.164 0.000
0.000 2.164 2.148
```

Summary:
Fermi-level density of states: 0.368 states/eV per atom
volume: 20.110 A^3/atom


(2)
The following is a PBEsol calculation of Mg2AlCd after structural relaxation, from Alexandria via LeMat-Bulk.

Cell and atoms, written as POSCAR:
```
Mg2AlCd
1.0
-1.679 -1.863 -1.884
-1.496 -2.098 3.407
-4.647 3.853 0.332
Mg Al Cd
2 1 1
Cartesian
-4.616 3.826 0.329
-2.804 -0.972 0.849
-2.302 1.908 0.164
-5.071 0.908 1.010
```

Summary:
Fermi-level density of states: 0.414 states/eV per atom
volume: 20.250 A^3/atom


(3)
The following is a PBEsol calculation of Mg2AlCd after structural relaxation, from Alexandria via LeMat-Bulk.

Cell and atoms, written as POSCAR:
```
Mg2AlCd
1.0
4.847 0.000 0.000
2.424 4.198 0.000
2.424 1.399 3.958
Al Cd Mg
1 1 2
Cartesian
4.847 2.799 1.979
2.424 1.399 0.989
0.000 0.000 0.000
7.271 4.198 2.968
```

Summary:
Fermi-level density of states: 0.367 states/eV per atom
volume: 20.133 A^3/atom


(4)
The following is a PBEsol calculation of Mg2AlCd after structural relaxation, from Alexandria via LeMat-Bulk.

Cell and atoms, written as POSCAR:
```
Mg2AlCd
1.0
4.245 0.000 0.000
0.000 4.334 0.000
0.000 0.000 4.334
Mg Al Cd
2 1 1
Cartesian
0.000 0.000 2.167
0.000 2.167 0.000
2.122 2.167 2.167
2.122 0.000 0.000
```

Summary:
Fermi-level density of states: 0.350 states/eV per atom
volume: 19.937 A^3/atom


What should be chosen as the least stable of them? Choose (3).


(1)
The following is a PBEsol calculation of Mg2AlCd after structural relaxation, from Alexandria via LeMat-Bulk.

Cell and atoms, written as POSCAR:
```
Mg2AlCd
1.0
-3.803 2.935 0.597
-4.495 -1.774 -0.286
-2.723 -0.347 3.988
Mg Al Cd
2 1 1
Cartesian
-2.756 0.203 1.075
-8.267 0.610 3.224
0.000 0.000 0.000
-5.511 0.407 2.150
```

Summary:
Fermi-level density of states: 0.332 states/eV per atom
volume: 20.059 A^3/atom


(2)
The following is a PBEsol calculation of Mg2AlCd after structural relaxation, from Alexandria via LeMat-Bulk.

Cell and atoms, written as POSCAR:
```
Mg2AlCd
1.0
-2.830 -0.454 1.373
0.117 -4.408 -1.216
4.009 -1.024 4.096
Mg Al Cd
2 1 1
Cartesian
3.725 -1.007 4.007
-0.773 -2.819 1.542
1.074 -0.629 2.383
1.868 -3.193 3.151
```

Summary:
Fermi-level density of states: 0.357 states/eV per atom
volume: 20.286 A^3/atom


(3)
The following is a PBEsol calculation of Mg2AlCd after structural relaxation, from Alexandria via LeMat-Bulk.

Cell and atoms, written as POSCAR:
```
Mg2AlCd
1.0
2.994 0.000 0.000
0.000 5.301 -0.014
0.000 -1.695 5.022
Mg Al Cd
2 1 1
Cartesian
0.000 2.650 -0.007
0.000 -0.848 2.511
1.497 0.000 0.000
1.497 1.803 2.504
```

Summary:
Fermi-level density of states: 0.362 states/eV per atom
volume: 19.907 A^3/atom


What should be chosen as the least stable of them? Choose (1).


(1)
The following is a PBEsol calculation of Mg2AlCd after structural relaxation, from Alexandria via LeMat-Bulk.

Cell and atoms, written as POSCAR:
```
Mg2AlCd
1.0
3.110 0.000 0.000
-1.555 4.883 -0.011
0.000 -1.052 5.356
Mg Al Cd
2 1 1
Cartesian
1.555 1.669 4.037
0.000 2.162 1.308
1.555 0.000 0.000
0.000 -0.526 2.678
```

Summary:
Fermi-level density of states: 0.363 states/eV per atom
volume: 20.328 A^3/atom


(2)
The following is a PBEsol calculation of Mg2AlCd after structural relaxation, from Alexandria via LeMat-Bulk.

Cell and atoms, written as POSCAR:
```
Mg2AlCd
1.0
-1.410 -3.955 -1.111
4.108 -1.371 -0.333
-1.395 1.535 4.798
Mg Al Cd
2 1 1
Cartesian
-0.728 -2.542 1.482
2.031 -1.250 1.871
1.349 -2.663 -0.722
0.000 0.000 0.000
```

Summary:
Fermi-level density of states: 0.410 states/eV per atom
volume: 19.948 A^3/atom


What should be chosen as the least stable of them? Choose (1).


(1)
The following is a PBEsol calculation of Mg16Al12Cd after structural relaxation, from Alexandria via LeMat-Bulk.

Cell and atoms, written as POSCAR:
```
Mg16Al12Cd
1.0
9.069 0.000 0.000
-3.023 8.550 0.000
-3.023 -4.275 7.405
Mg Al Cd
16 12 1
Cartesian
3.284 4.644 2.113
1.997 2.824 4.891
0.261 0.369 5.292
-1.026 -1.451 2.514
4.487 2.686 0.000
1.037 -2.563 4.439
4.060 1.712 2.966
3.079 0.000 0.000
-2.762 3.783 2.326
3.284 -0.493 5.079
-1.559 2.932 5.079
4.487 -1.343 2.326
-1.026 2.903 0.000
-2.762 0.123 4.439
0.261 4.398 2.966
1.037 5.126 0.000
1.679 2.375 1.355
-1.344 -1.900 6.050
5.473 5.393 0.000
-4.367 4.261 4.670
1.679 -0.014 2.734
-4.367 1.914 6.026
-1.344 6.189 1.379
3.260 -3.479 6.026
6.283 0.796 1.379
-0.573 1.579 2.734
5.473 -2.696 4.670
3.260 6.958 0.000
0.000 0.000 0.000
```

Summary:
Fermi-level density of states: 0.404 states/eV per atom
volume: 19.799 A^3/atom


(2)
The following is a PBEsol calculation of Mg16Al12Cd after structural relaxation, from Alexandria via LeMat-Bulk.

Cell and atoms, written as POSCAR:
```
Mg16Al12Cd
1.0
9.037 -0.002 -0.003
-2.977 8.533 -0.003
-2.977 -4.191 7.433
Mg Al Cd
16 12 1
Cartesian
-0.211 4.768 2.345
3.082 4.338 7.423
-1.940 5.575 0.006
2.749 -0.014 4.434
1.600 -2.855 5.067
-0.918 2.591 4.434
4.965 3.426 0.000
5.903 0.003 0.006
-0.211 -0.297 5.305
-3.223 4.134 2.985
1.600 5.816 0.000
4.571 1.371 2.345
-1.940 -2.731 4.860
-3.223 0.571 5.067
2.749 3.870 2.164
4.965 -1.682 2.985
4.379 -1.821 6.050
1.412 4.369 4.742
-2.402 6.963 2.725
7.365 2.362 1.359
1.412 1.987 6.134
4.379 6.165 1.383
7.365 0.025 2.725
-0.195 -2.611 7.404
-3.161 3.536 6.050
3.661 2.771 4.742
-2.402 -1.043 7.404
-0.195 7.732 1.359
1.021 1.437 2.459
```

Summary:
Fermi-level density of states: 0.374 states/eV per atom
volume: 19.754 A^3/atom


(3)
The following is a PBEsol calculation of Mg16Al12Cd after structural relaxation, from Alexandria via LeMat-Bulk.

Cell and atoms, written as POSCAR:
```
Mg16Al12Cd
1.0
9.028 -0.005 -0.004
-2.971 8.525 -0.004
-2.993 -4.210 7.425
Mg Al Cd
16 12 1
Cartesian
5.028 7.073 2.540
3.296 4.636 2.142
3.061 4.305 7.405
1.960 2.756 4.891
1.464 -1.474 7.413
4.069 1.731 2.966
-1.920 5.982 4.454
-2.809 4.314 7.393
3.243 -0.423 5.078
-2.723 3.785 2.353
4.469 -1.328 2.353
-1.465 2.924 5.078
4.998 -1.236 7.393
6.281 0.152 4.454
0.299 4.412 2.966
-1.873 0.898 7.413
1.688 2.375 1.333
-1.336 -1.879 6.076
5.490 5.402 0.027
-4.311 4.270 4.702
1.694 0.008 2.697
-1.284 6.195 1.387
-4.300 1.952 6.059
3.257 -3.420 6.059
6.273 0.822 1.387
-0.549 1.603 2.697
5.450 -2.669 4.702
3.298 6.960 0.027
0.228 0.321 5.220
```

Summary:
Fermi-level density of states: 0.385 states/eV per atom
volume: 19.690 A^3/atom


What should be chosen as the least stable of them? Choose (1).


(1)
The following is a PBEsol calculation of Al2CdP after structural relaxation, from Alexandria via LeMat-Bulk.

Cell and atoms, written as POSCAR:
```
Al2CdP
1.0
3.065 0.578 0.000
-0.578 3.065 0.000
0.000 0.000 7.105
P Al Cd
1 2 1
Cartesian
1.244 1.821 0.000
0.000 0.000 1.410
0.000 0.000 5.695
1.244 1.821 3.553
```

Summary:
Fermi-level density of states: 0.329 states/eV per atom
volume: 17.276 A^3/atom


(2)
The following is a PBEsol calculation of Al2CdP after structural relaxation, from Alexandria via LeMat-Bulk.

Cell and atoms, written as POSCAR:
```
Al2CdP
1.0
3.777 0.000 0.000
0.000 4.228 0.000
0.000 0.000 4.407
P Al Cd
1 2 1
Cartesian
0.000 2.114 2.203
0.000 0.000 0.000
1.889 0.000 2.203
1.889 2.114 0.000
```

Summary:
Fermi-level density of states: 0.405 states/eV per atom
volume: 17.595 A^3/atom


(3)
The following is a PBEsol calculation of Al2CdP after structural relaxation, from Alexandria via LeMat-Bulk.

Cell and atoms, written as POSCAR:
```
Al2CdP
1.0
3.366 0.000 0.000
0.000 3.410 0.000
-1.683 -1.705 6.522
P Al Cd
1 2 1
Cartesian
0.000 1.705 3.731
1.683 1.705 5.543
1.683 0.000 3.044
1.683 1.705 0.726
```

Summary:
Fermi-level density of states: 0.337 states/eV per atom
volume: 18.718 A^3/atom


What should be chosen as the least stable of them? Choose (2).